#A
Entry from Alexandria via LeMat-Bulk: a geometry-optimized GaCoPb3 structure (PBE).

abc: 5.1153 5.1153 5.1153
angles: 90.00 90.00 90.00
With the nearest neighbours (Å) after each atom.
Positions (direct):
Pb  0.0000  0.0000  0.5000  2 Co 2.56
Pb  0.5000  0.0000  0.0000  2 Co 2.56
Pb  0.0000  0.5000  0.0000  2 Co 2.56
Co  0.0000  0.0000  0.0000  6 Pb 2.56
Ga  0.5000  0.5000  0.5000  12 Pb 3.62

## Properties
As for the spin magnetization: 0.00 μB/cell.

***

#B
Entry from Alexandria via LeMat-Bulk: a geometry-optimized GaCoPb3 structure (PBE).

abc: 5.4356 5.4356 5.4356
angles: 90.00 90.00 90.00
With the nearest neighbours (Å) after each atom.
Positions (direct):
Ga  0.0000  0.0000  0.0000  6 Pb 2.72
Co  0.5000  0.5000  0.5000  12 Pb 3.84
Pb  0.0000  0.5000  0.0000  2 Ga 2.72
Pb  0.5000  0.0000  0.0000  2 Ga 2.72
Pb  0.0000  0.0000  0.5000  2 Ga 2.72

## Properties
As for the spin magnetization: 1.99 μB/cell.

***

Stability, lowest: #B

***

#A
Entry from Alexandria via LeMat-Bulk: a geometry-optimized Ga2Co2Pd structure (PBE).

abc: 6.9331 6.9331 2.7364
angles: 90.00 90.00 90.00
With the nearest neighbours (Å) after each atom.
Positions (direct):
Pd  0.0000  0.0000  0.0000  2 Pd 2.74, 4 Co 2.76, 8 Ga 2.90
Pd  0.5000  0.5000  0.0000  2 Pd 2.74, 4 Co 2.76, 8 Ga 2.90
Co  0.6205  0.1205  0.0000  1 Co 2.36, 6 Ga 2.42-2.50
Co  0.1205  0.3795  0.0000  1 Co 2.36, 6 Ga 2.42-2.50
Co  0.8795  0.6205  0.0000  1 Co 2.36, 6 Ga 2.42-2.50
Co  0.3795  0.8795  0.0000  1 Co 2.36, 6 Ga 2.42-2.50
Ga  0.1764  0.6764  0.5000  6 Co 2.42-2.50
Ga  0.6764  0.8236  0.5000  6 Co 2.42-2.50
Ga  0.3236  0.1764  0.5000  6 Co 2.42-2.50
Ga  0.8236  0.3236  0.5000  6 Co 2.42-2.50

## Properties
As for the spin magnetization: 2.27 μB/cell.

***

#B
Entry from Alexandria via LeMat-Bulk: a geometry-optimized Ga2Co2Pd structure (PBE).

abc: 3.3352 3.3352 6.8556
angles: 75.92 75.92 90.00
With the nearest neighbours (Å) after each atom.
Positions (direct):
Ga  0.6055  0.6055  0.7890  4 Co 2.50, 1 Ga 2.72, 4 Pd 2.72
Ga  0.3945  0.3945  0.2110  4 Co 2.50, 1 Ga 2.72, 4 Pd 2.72
Co  0.7500  0.2500  0.5000  4 Co 2.36, 4 Ga 2.50
Co  0.2500  0.7500  0.5000  4 Co 2.36, 4 Ga 2.50
Pd  0.0000  0.0000  0.0000  8 Ga 2.72

## Properties
As for the spin magnetization: 2.96 μB/cell.

***

Stability, lowest: #B

***

#A
Entry from Alexandria via LeMat-Bulk: a geometry-optimized GaCo3Pd structure (PBE).

abc: 4.5802 4.5802 4.5802
angles: 90.00 90.00 90.00
With the nearest neighbours (Å) after each atom.
Positions (direct):
Co  0.0000  0.0000  0.5000  2 Pd 2.29
Co  0.5000  0.0000  0.0000  2 Pd 2.29
Co  0.0000  0.5000  0.0000  2 Pd 2.29
Pd  0.0000  0.0000  0.0000  6 Co 2.29
Ga  0.5000  0.5000  0.5000  12 Co 3.24

## Properties
As for the spin magnetization: 6.42 μB/cell.

***

#B
Entry from Alexandria via LeMat-Bulk: a geometry-optimized GaCo3Pd structure (PBE).

abc: 4.3050 4.3050 4.3050
angles: 90.00 90.00 90.00
With the nearest neighbours (Å) after each atom.
Positions (direct):
Co  0.5000  0.0000  0.0000  2 Ga 2.15
Co  0.0000  0.0000  0.5000  2 Ga 2.15
Co  0.0000  0.5000  0.0000  2 Ga 2.15
Ga  0.0000  0.0000  0.0000  6 Co 2.15
Pd  0.5000  0.5000  0.5000  12 Co 3.04

## Properties
As for the spin magnetization: 4.60 μB/cell.

***

Stability, lowest: #A

***

#A
Entry from Alexandria via LeMat-Bulk: a geometry-optimized Ga2CoPd2 structure (PBE).

abc: 7.3062 7.3062 2.8179
angles: 90.00 90.00 90.00
With the nearest neighbours (Å) after each atom.
Positions (direct):
Pd  0.8620  0.6380  0.0000  6 Ga 2.50-2.62
Pd  0.1380  0.3620  0.0000  6 Ga 2.50-2.62
Pd  0.3620  0.8620  0.0000  6 Ga 2.50-2.62
Pd  0.6380  0.1380  0.0000  6 Ga 2.50-2.62
Ga  0.6626  0.8374  0.5000  6 Pd 2.50-2.62
Ga  0.3374  0.1626  0.5000  6 Pd 2.50-2.62
Ga  0.1626  0.6626  0.5000  6 Pd 2.50-2.62
Ga  0.8374  0.3374  0.5000  6 Pd 2.50-2.62
Co  0.0000  0.0000  0.0000  2 Co 2.82, 4 Pd 2.83, 8 Ga 3.08
Co  0.5000  0.5000  0.0000  2 Co 2.82, 4 Pd 2.83, 8 Ga 3.08

## Properties
As for the spin magnetization: 3.06 μB/cell.

***

#B
Entry from Alexandria via LeMat-Bulk: a geometry-optimized Ga2CoPd2 structure (PBE).

abc: 7.0954 7.0954 2.9558
angles: 90.00 90.00 90.00
With the nearest neighbours (Å) after each atom.
Positions (direct):
Pd  0.6503  0.8497  0.5000  6 Ga 2.49-2.59
Pd  0.1503  0.6503  0.5000  6 Ga 2.49-2.59
Pd  0.3497  0.1503  0.5000  6 Ga 2.49-2.59
Pd  0.8497  0.3497  0.5000  6 Ga 2.49-2.59
Co  0.5000  0.5000  0.0000  4 Ga 2.70, 2 Co 2.96
Co  0.0000  0.0000  0.0000  4 Ga 2.70, 2 Co 2.96
Ga  0.6500  0.1500  0.0000  6 Pd 2.49-2.59, 2 Co 2.70
Ga  0.3500  0.8500  0.0000  6 Pd 2.49-2.59, 2 Co 2.70
Ga  0.8500  0.6500  0.0000  6 Pd 2.49-2.59, 2 Co 2.70
Ga  0.1500  0.3500  0.0000  6 Pd 2.49-2.59, 2 Co 2.70

## Properties
As for the spin magnetization: 3.22 μB/cell.

***

Stability, lowest: #A

***

#A
Entry from Alexandria via LeMat-Bulk: a geometry-optimized PmGa9Co2 structure (PBE).

abc: 6.8006 8.3343 8.3343
angles: 80.42 65.92 65.92
With the nearest neighbours (Å) after each atom.
Positions (direct):
Ga  0.6149  0.3124  0.0730  2 Co 2.54-2.59, 6 Ga 2.58-2.84
Ga  0.6773  0.5730  0.1876  2 Co 2.54-2.59, 6 Ga 2.58-2.84
Ga  0.1351  0.4270  0.1876  2 Co 2.54-2.59, 6 Ga 2.58-2.84
Ga  0.6149  0.0730  0.3124  2 Co 2.54-2.59, 6 Ga 2.58-2.84
Ga  0.6773  0.1876  0.5730  2 Co 2.54-2.59, 6 Ga 2.58-2.84
Ga  0.0727  0.3124  0.9270  2 Co 2.54-2.59, 6 Ga 2.58-2.84
Ga  0.3122  0.6876  0.0730  2 Co 2.54-2.59, 6 Ga 2.58-2.84
Ga  0.0000  0.0000  0.0000  8 Ga 2.77, 4 Co 2.82
Ga  0.0727  0.9270  0.3124  2 Co 2.54-2.59, 6 Ga 2.58-2.84
Ga  0.3122  0.0730  0.6876  2 Co 2.54-2.59, 6 Ga 2.58-2.84
Ga  0.7497  0.8124  0.5730  2 Co 2.54-2.59, 6 Ga 2.58-2.84
Ga  0.1351  0.1876  0.4270  2 Co 2.54-2.59, 6 Ga 2.58-2.84
Ga  0.4378  0.8124  0.4270  2 Co 2.54-2.59, 6 Ga 2.58-2.84
Ga  0.7500  0.5000  0.5000  8 Ga 2.77, 4 Co 2.82
Ga  0.0003  0.9270  0.6876  2 Co 2.54-2.59, 6 Ga 2.58-2.84
Ga  0.4378  0.4270  0.8124  2 Co 2.54-2.59, 6 Ga 2.58-2.84
Ga  0.0003  0.6876  0.9270  2 Co 2.54-2.59, 6 Ga 2.58-2.84
Ga  0.7497  0.5730  0.8124  2 Co 2.54-2.59, 6 Ga 2.58-2.84
Co  0.8750  0.2500  0.2500  10 Ga 2.54-2.82
Co  0.3750  0.7500  0.7500  10 Ga 2.54-2.82
Co  0.8750  0.7500  0.2500  10 Ga 2.54-2.82
Co  0.8750  0.2500  0.7500  10 Ga 2.54-2.82
Pm  0.2500  0.5000  0.5000  18 Ga 3.21-3.57
Pm  0.5000  0.0000  0.0000  18 Ga 3.21-3.57

## Properties
As for the spin magnetization: 0.00 μB/cell.

***

#B
Entry from Alexandria via LeMat-Bulk: a geometry-optimized PmGa9Co2 structure (PBE).

abc: 3.7655 7.9386 7.9386
angles: 120.00 90.00 90.00
With the nearest neighbours (Å) after each atom.
Positions (direct):
Ga  0.5000  0.2045  0.4091  2 Co 2.58, 6 Ga 2.81
Ga  0.0000  0.5000  0.0000  2 Co 2.29
Ga  0.5000  0.2045  0.7955  2 Co 2.58, 6 Ga 2.81
Ga  0.5000  0.7955  0.2045  2 Co 2.58, 6 Ga 2.81
Ga  0.0000  0.5000  0.5000  2 Co 2.29
Ga  0.5000  0.7955  0.5909  2 Co 2.58, 6 Ga 2.81
Ga  0.0000  0.0000  0.5000  2 Co 2.29
Ga  0.5000  0.5909  0.7955  2 Co 2.58, 6 Ga 2.81
Ga  0.5000  0.4091  0.2045  2 Co 2.58, 6 Ga 2.81
Co  0.0000  0.3333  0.6667  3 Ga 2.29
Co  0.0000  0.6667  0.3333  3 Ga 2.29
Pm  0.0000  0.0000  0.0000  12 Ga 3.38, 2 Pm 3.77

## Properties
As for the spin magnetization: 0.00 μB/cell.

***

Stability, lowest: #A